Computed, not measured: a geometry-optimized Na2MgPd structure at the PBE level of DFT.

```
4
Lattice="0.000 3.530 3.530 3.530 0.000 3.530 3.530 3.530 0.000" Properties=species:S:1:pos:R:3 pbc="T T T"
Na 1.765 1.765 1.765
Na 5.295 5.295 5.295
Mg 0.000 0.000 0.000
Pd 3.530 3.530 3.530
```

Results
Electronic total energy in eV for the cell shown: -9.2
ΔE to the lowest computed polymorph in eV/atom: 0.000
Space group: No. 225
DFT formation energy in eV/atom: 0.0478